# Gd2HoF

An optimized crystal structure of Gd2HoF (PBE, the Alexandria database).

The space group is R-3m (No. 166, hexagonal axes) and the conventional cell measures 3.7106, 3.7106 and 25.6859 Å, with angles of 90.00, 90.00 and 120.00 degrees. Symmetry generates all atoms from Gd at (0.0000, 0.0000, 0.2236), Ho at (0.0000, 0.0000, 0.0000) and F at (0.0000, 0.0000, 0.5000).

The calculation puts the density of states at the Fermi level at 1.1569 states/eV/atom. As for the uncorrected energy: -39.1 eV/f.u.


# Pm5Si2Pt2

An optimized crystal structure of Pm5Si2Pt2 (PBE, the Alexandria database).

The space group is Cmce (No. 64) and the conventional cell measures 15.4184, 7.6768 and 7.6991 Å, with angles of 90.00, 90.00 and 90.00 degrees. Symmetry generates all atoms from Pm at (0.0000, 0.0000, 0.0000), Pm at (0.1402, 0.1749, 0.3315), Si at (0.0000, 0.1147, 0.6151) and Pt at (0.2012, 0.0000, 0.0000).

The calculation puts the density of states at the Fermi level at 1.0160 states/eV/atom. As for the uncorrected energy: -54.2 eV/f.u.